Entry 1:
# PBE-GGA In2PbS3, relaxed
data_In2PbS3
_chemical_formula_sum 'In4 Pb2 S6'
_cell_length_a 6.683
_cell_length_b 4.129
_cell_length_c 12.439
_cell_angle_alpha 90.00
_cell_angle_beta 94.94
_cell_angle_gamma 90.00
_space_group_name_H-M_alt 'P 1 21/m 1'
_space_group_IT_number 11
loop_
_space_group_symop_operation_xyz
'x,y,z'
'-x,-y,-z'
'-x,y+1/2,-z'
'x,-y+1/2,z'
loop_
_atom_site_label
_atom_site_fract_x
_atom_site_fract_y
_atom_site_fract_z
_atom_site_occupancy
In1 0.035 0.250 0.367 1
In2 0.094 0.250 0.113 1
Pb1 0.431 0.250 0.662 1
S1 0.127 0.250 0.902 1
S2 0.246 0.750 0.468 1
S3 0.438 0.250 0.199 1
# **E_form (uncorrected)**: -421.5 meV per atom
# **Offset from the most stable computed form**: 0 meV per atom
# **E_tot**: -24.10 eV per formula unit
# **Crystal system**: monoclinic

---

Entry 2:
# PBE-GGA VNiPt2, relaxed
data_VNiPt2
_chemical_formula_sum 'V4 Ni4 Pt8'
_cell_length_a 6.768
_cell_length_b 6.768
_cell_length_c 5.366
_cell_angle_alpha 90.00
_cell_angle_beta 90.00
_cell_angle_gamma 90.00
_space_group_name_H-M_alt 'I -4 2 d'
_space_group_IT_number 122
_space_group_name_Hall 'I -4 2bw'
loop_
_atom_site_label
_atom_site_fract_x
_atom_site_fract_y
_atom_site_fract_z
_atom_site_occupancy
V1 0.000 0.000 0.000 1
Ni1 0.000 0.000 0.500 1
Pt1 0.241 0.250 0.125 1
# **Energy of formation from the pure elements**: 41.1 meV/atom
# **E_tot**: -26.82 eV per formula unit
# **Crystal system**: tetragonal

---

Entry 3:
# PBE-GGA Li4FeN2, relaxed
data_Li4FeN2
_chemical_formula_sum 'Li8 Fe2 N4'
_cell_length_a 3.390
_cell_length_b 5.207
_cell_length_c 9.598
_cell_angle_alpha 90.00
_cell_angle_beta 90.00
_cell_angle_gamma 90.00
_space_group_name_H-M_alt 'I m m m'
_space_group_IT_number 71
_space_group_name_Hall '-I 2 2'
loop_
_atom_site_label
_atom_site_fract_x
_atom_site_fract_y
_atom_site_fract_z
_atom_site_occupancy
Li1 0.000 0.240 0.158 1
Fe1 0.000 0.500 0.500 1
N1 0.000 0.500 0.322 1
# **E_form (uncorrected)**: -265.2 meV per atom
# **Offset from the most stable computed form**: 0 meV per atom
# **E_tot**: -34.63 eV per formula unit
# **Crystal system**: orthorhombic

---

Q: Which of these has the lowest E_tot?
A: Li4FeN2

---

Q: E_tot of number 2 (VNiPt2)?
A: -26.82 eV per formula unit

---

Q: E_tot of number 1 (In2PbS3)?
A: -24.10 eV per formula unit